## a
# MnSi2SN | Alexandria | PBE-GGA | optimized geometry
# **M_tot**: 1.073 μB per formula unit
# **Calculated volume**: 151.2 Å³ per cell
data_MnSi2SN
_cell_length_a 8.399
_cell_length_b 2.829
_cell_length_c 6.845
_cell_angle_alpha 90.00
_cell_angle_beta 111.61
_cell_angle_gamma 90.00
_space_group_name_H-M_alt 'C 1 m 1'
_space_group_IT_number 8
loop_
_space_group_symop_operation_xyz
'x,y,z'
'x,-y,z'
'x+1/2,y+1/2,z'
'x+1/2,-y+1/2,z'
loop_
_atom_site_label
_atom_site_type_symbol
_atom_site_fract_x
_atom_site_fract_y
_atom_site_fract_z
Mn1 Mn 0.000 0.000 0.000
Si1 Si 0.137 0.000 0.450
Si2 Si 0.339 0.500 0.199
S1 S 0.395 0.000 0.753
N1 N 0.233 0.000 0.252

## b
# MnSi2SN | Alexandria | PBE-GGA | optimized geometry
# **M_tot**: 0.013 μB per formula unit
# **Calculated volume**: 61.6 Å³ per cell
data_MnSi2SN
_cell_length_a 3.149
_cell_length_b 4.551
_cell_length_c 4.933
_cell_angle_alpha 115.04
_cell_angle_beta 103.57
_cell_angle_gamma 91.64
_space_group_name_H-M_alt 'P 1'
_space_group_IT_number 1
loop_
_space_group_symop_operation_xyz
'x,y,z'
loop_
_atom_site_label
_atom_site_type_symbol
_atom_site_fract_x
_atom_site_fract_y
_atom_site_fract_z
Mn1 Mn 0.000 0.000 0.000
Si1 Si 0.184 0.487 0.467
Si2 Si 0.616 0.982 0.313
S1 S 0.990 0.424 0.860
N1 N 0.701 0.735 0.514

b is favored, and the nearest alternative lies 9 meV per atom above it.

## a
# Li2MgRe | Alexandria | PBE-GGA | optimized geometry
# **M_tot**: 1.074 μB per formula unit
# **Calculated volume**: 126.7 Å³ per cell
data_Li2MgRe
_cell_length_a 3.882
_cell_length_b 3.882
_cell_length_c 8.410
_cell_angle_alpha 90.00
_cell_angle_beta 90.00
_cell_angle_gamma 90.00
_space_group_name_H-M_alt 'I 4/m m m'
_space_group_IT_number 139
_space_group_name_Hall '-I 4 2'
loop_
_atom_site_label
_atom_site_type_symbol
_atom_site_fract_x
_atom_site_fract_y
_atom_site_fract_z
Li1 Li 0.000 0.500 0.250
Mg1 Mg 0.000 0.000 0.000
Re1 Re 0.000 0.000 0.500

## b
# Li2MgRe | Alexandria | PBE-GGA | optimized geometry
# **M_tot**: 0.000 μB per formula unit
# **Calculated volume**: 66.6 Å³ per cell
data_Li2MgRe
_cell_length_a 2.662
_cell_length_b 2.662
_cell_length_c 9.404
_cell_angle_alpha 90.00
_cell_angle_beta 90.00
_cell_angle_gamma 90.00
_space_group_name_H-M_alt 'P 4 m m'
_space_group_IT_number 99
loop_
_space_group_symop_operation_xyz
'x,y,z'
'-y,x,z'
'-x,-y,z'
'y,-x,z'
'-x,y,z'
'y,x,z'
'x,-y,z'
'-y,-x,z'
loop_
_atom_site_label
_atom_site_type_symbol
_atom_site_fract_x
_atom_site_fract_y
_atom_site_fract_z
Li1 Li 0.000 0.000 0.000
Li2 Li 0.500 0.500 0.271
Mg1 Mg 0.000 0.000 0.536
Re1 Re 0.500 0.500 0.772

b is favored, and the nearest alternative lies 446 meV per atom above it.

## a
# Pa2GaSb | Alexandria | PBE-GGA | optimized geometry
# **M_tot**: 0.001 μB per formula unit
# **Calculated volume**: 95.9 Å³ per cell
data_Pa2GaSb
_cell_length_a 3.495
_cell_length_b 3.495
_cell_length_c 7.852
_cell_angle_alpha 90.00
_cell_angle_beta 90.00
_cell_angle_gamma 90.00
_space_group_name_H-M_alt 'P 4/m m m'
_space_group_IT_number 123
_space_group_name_Hall '-P 4 2'
loop_
_atom_site_label
_atom_site_type_symbol
_atom_site_fract_x
_atom_site_fract_y
_atom_site_fract_z
Pa1 Pa 0.000 0.000 0.245
Ga1 Ga 0.500 0.500 0.000
Sb1 Sb 0.500 0.500 0.500

## b
# Pa2GaSb | Alexandria | PBE-GGA | optimized geometry
# **M_tot**: 1.644 μB per formula unit
# **Calculated volume**: 95.6 Å³ per cell
data_Pa2GaSb
_cell_length_a 4.718
_cell_length_b 4.718
_cell_length_c 4.296
_cell_angle_alpha 90.00
_cell_angle_beta 90.00
_cell_angle_gamma 90.00
_space_group_name_H-M_alt 'P 4/m m m'
_space_group_IT_number 123
_space_group_name_Hall '-P 4 2'
loop_
_atom_site_label
_atom_site_type_symbol
_atom_site_fract_x
_atom_site_fract_y
_atom_site_fract_z
Pa1 Pa 0.000 0.500 0.000
Ga1 Ga 0.000 0.000 0.500
Sb1 Sb 0.500 0.500 0.500

a is favored, and the nearest alternative lies 10 meV per atom above it.

## a
# LaIrW2 | Alexandria | PBE-GGA | optimized geometry
# **M_tot**: 0.000 μB per formula unit
# **Calculated volume**: 150.8 Å³ per cell
data_LaIrW2
_cell_length_a 5.427
_cell_length_b 9.797
_cell_length_c 2.837
_cell_angle_alpha 90.00
_cell_angle_beta 90.00
_cell_angle_gamma 90.00
_space_group_name_H-M_alt 'C m m m'
_space_group_IT_number 65
_space_group_name_Hall '-C 2 2'
loop_
_atom_site_label
_atom_site_type_symbol
_atom_site_fract_x
_atom_site_fract_y
_atom_site_fract_z
La1 La 0.000 0.000 0.000
Ir1 Ir 0.000 0.500 0.000
W1 W 0.250 0.250 0.500

## b
# LaIrW2 | Alexandria | PBE-GGA | optimized geometry
# **M_tot**: 0.000 μB per formula unit
# **Calculated volume**: 82.7 Å³ per cell
data_LaIrW2
_cell_length_a 3.379
_cell_length_b 3.379
_cell_length_c 7.246
_cell_angle_alpha 90.00
_cell_angle_beta 90.00
_cell_angle_gamma 90.00
_space_group_name_H-M_alt 'P 4/m m m'
_space_group_IT_number 123
_space_group_name_Hall '-P 4 2'
loop_
_atom_site_label
_atom_site_type_symbol
_atom_site_fract_x
_atom_site_fract_y
_atom_site_fract_z
La1 La 0.000 0.000 0.000
Ir1 Ir 0.000 0.000 0.500
W1 W 0.500 0.500 0.330

b is favored, and the nearest alternative lies 227 meV per atom above it.

## a
# KTa2Ag | Alexandria | PBE-GGA | optimized geometry
# **M_tot**: 0.000 μB per formula unit
# **Calculated volume**: 319.1 Å³ per cell
data_KTa2Ag
_cell_length_a 6.834
_cell_length_b 6.834
_cell_length_c 6.834
_cell_angle_alpha 90.00
_cell_angle_beta 90.00
_cell_angle_gamma 90.00
_space_group_name_H-M_alt 'F m -3 m'
_space_group_IT_number 225
_space_group_name_Hall '-F 4 2 3'
loop_
_atom_site_label
_atom_site_type_symbol
_atom_site_fract_x
_atom_site_fract_y
_atom_site_fract_z
K1 K 0.000 0.000 0.000
Ta1 Ta 0.250 0.250 0.250
Ag1 Ag 0.000 0.000 0.500

## b
# KTa2Ag | Alexandria | PBE-GGA | optimized geometry
# **M_tot**: 0.000 μB per formula unit
# **Calculated volume**: 175.2 Å³ per cell
data_KTa2Ag
_cell_length_a 5.555
_cell_length_b 11.421
_cell_length_c 2.761
_cell_angle_alpha 90.00
_cell_angle_beta 90.00
_cell_angle_gamma 90.00
_space_group_name_H-M_alt 'C m m m'
_space_group_IT_number 65
_space_group_name_Hall '-C 2 2'
loop_
_atom_site_label
_atom_site_type_symbol
_atom_site_fract_x
_atom_site_fract_y
_atom_site_fract_z
K1 K 0.000 0.000 0.000
Ta1 Ta 0.250 0.250 0.500
Ag1 Ag 0.000 0.500 0.000

b is favored, and the nearest alternative lies 522 meV per atom above it.

## a
# Tl2AgHg | Alexandria | PBE-GGA | optimized geometry
# **M_tot**: 0.000 μB per formula unit
# **Calculated volume**: 209.7 Å³ per cell
data_Tl2AgHg
_cell_length_a 12.271
_cell_length_b 3.387
_cell_length_c 5.364
_cell_angle_alpha 90.00
_cell_angle_beta 109.83
_cell_angle_gamma 90.00
_space_group_name_H-M_alt 'C 1 m 1'
_space_group_IT_number 8
loop_
_space_group_symop_operation_xyz
'x,y,z'
'x,-y,z'
'x+1/2,y+1/2,z'
'x+1/2,-y+1/2,z'
loop_
_atom_site_label
_atom_site_type_symbol
_atom_site_fract_x
_atom_site_fract_y
_atom_site_fract_z
Tl1 Tl 0.000 0.000 0.000
Tl2 Tl 0.214 0.000 0.665
Ag1 Ag 0.234 0.500 0.173
Hg1 Hg 0.444 0.000 0.455

## b
# Tl2AgHg | Alexandria | PBE-GGA | optimized geometry
# **M_tot**: 0.000 μB per formula unit
# **Calculated volume**: 104.4 Å³ per cell
data_Tl2AgHg
_cell_length_a 5.001
_cell_length_b 5.001
_cell_length_c 4.177
_cell_angle_alpha 90.00
_cell_angle_beta 90.00
_cell_angle_gamma 90.00
_space_group_name_H-M_alt 'P 4/m m m'
_space_group_IT_number 123
_space_group_name_Hall '-P 4 2'
loop_
_atom_site_label
_atom_site_type_symbol
_atom_site_fract_x
_atom_site_fract_y
_atom_site_fract_z
Tl1 Tl 0.000 0.500 0.000
Ag1 Ag 0.000 0.000 0.500
Hg1 Hg 0.500 0.500 0.500

a is favored, and the nearest alternative lies 16 meV per atom above it.